No. 1
VASP calculation (meta-GGA SCAN) on a crystal of Rh2W relaxed with PBEsol.

abc: 2.736 7.371 7.371
angles: 120.00 90.00 90.00
Atoms (fractional coordinates):
1 Rh 0.000 0.697 0.697
2 Rh 0.500 0.641 0.000
3 Rh 0.000 0.000 0.303
4 Rh 0.500 0.359 0.359
5 Rh 0.500 0.000 0.641
6 Rh 0.000 0.303 0.000
7 W 0.000 0.333 0.667
8 W 0.000 0.667 0.333
9 W 0.500 0.000 0.000

Magnetization, Bohr magnetons per cell: 0.00
Theoretical density, g cm⁻³: 15.079
Space-group type: P-62m (189)
Calculated total energy, hartree per atom: -1.688
E_form, meV/atom: -182


No. 2
VASP calculation (meta-GGA SCAN) on a crystal of NdS2 relaxed with PBEsol.

abc: 5.477 5.477 5.477
angles: 60.00 60.00 60.00
Site moments in Bohr magnetons follow the coordinates.
Atoms (fractional coordinates):
1 S 0.625 0.125 0.625  0.02
2 S 0.125 0.625 0.625  0.02
3 S 0.625 0.625 0.625  0.02
4 S 0.625 0.625 0.125  0.02
5 Nd 0.250 0.250 0.250  -0.50
6 Nd 0.000 0.000 0.000  -0.50

Magnetization, Bohr magnetons per cell: 1.64
Theoretical density, g cm⁻³: 5.957
E_form (uncorrected), meV per atom: -311.3
Space-group type: Fd-3m (227)
Calculated total energy, hartree per atom: -0.781


No. 3
VASP calculation (meta-GGA SCAN) on a crystal of LiCaTc2 relaxed with PBEsol.

abc: 2.620 5.164 5.538
angles: 114.06 96.95 104.33
Atoms (fractional coordinates):
1 Tc 0.000 0.000 0.500
2 Tc 0.500 0.500 0.500
3 Li 0.000 0.500 0.000
4 Ca 0.500 0.000 0.000

Magnetization, Bohr magnetons per cell: 0.00
Theoretical density, g cm⁻³: 6.290
Relative energy among the computed polymorphs, meV per atom: 274.6
Space-group type: C2/m (12)
Calculated total energy, hartree per atom: -0.737
E_form, meV/atom: 488